Entry from OQMD: a relaxed structure of Lu2NbTl (PBE).

Lattice parameters (Å, degrees): 5.070 5.070 5.070 60.00 60.00 60.00
Element x y z (fractional)
Lu 0.000 0.000 0.000
Lu 0.750 0.750 0.750
Nb 0.250 0.250 0.250
Tl 0.500 0.500 0.500

Results
electronic total energy: -20.48 eV/cell